Here is a relaxed BeNi2I2 crystal from Alexandria via LeMat-Bulk. Energies are from PBE.

Total magnetization = 0.000 μB/atom
Calculated volume = 18.193 Å³ per atom
Formation energy without anion corrections = 3.33 eV per formula unit
Calculated total energy = -3.011 eV per atom
E above lowest polymorph = 0.95 eV/f.u.

a = 6.8179 Å, b = 6.8179 Å, c = 3.9139 Å
α = 90.00°, β = 90.00°, γ = 90.00°
With the nearest neighbours (Å) after each atom.
Atoms (fractional coordinates):
1 Be 0.0000 0.0000 0.0000  4 Ni 2.63
2 Be 0.5000 0.5000 0.0000  4 Ni 2.63
3 Ni 0.1420 0.3580 0.0000  2 I 2.59, 2 Be 2.63, 1 Ni 2.74
4 Ni 0.3580 0.8580 0.0000  2 I 2.59, 2 Be 2.63, 1 Ni 2.74
5 Ni 0.6420 0.1420 0.0000  2 I 2.59, 2 Be 2.63, 1 Ni 2.74
6 Ni 0.8580 0.6420 0.0000  2 I 2.59, 2 Be 2.63, 1 Ni 2.74
7 I 0.1817 0.6817 0.5000  2 Ni 2.59
8 I 0.3183 0.1817 0.5000  2 Ni 2.59
9 I 0.6817 0.8183 0.5000  2 Ni 2.59
10 I 0.8183 0.3183 0.5000  2 Ni 2.59

Here is a relaxed Rb2Zn2Ge crystal from Alexandria via LeMat-Bulk. Energies are from PBE.

Total magnetization = 0.099 μB/atom
Calculated volume = 32.198 Å³ per atom
Calculated total energy = -1.562 eV per atom
Energy of formation = 0.26 eV/atom
E above lowest polymorph = 0.60 eV/f.u.

a = 12.0596 Å, b = 12.0596 Å, c = 12.0596 Å
α = 162.36°, β = 162.36°, γ = 25.05°
With the nearest neighbours (Å) after each atom.
Atoms (fractional coordinates):
1 Rb 0.1056 0.1056 0.0000  4 Ge 3.61, 4 Rb 3.70, 4 Zn 3.87
2 Rb 0.8944 0.8944 0.0000  4 Ge 3.61, 4 Rb 3.70, 4 Zn 3.87
3 Zn 0.2500 0.7500 0.5000  4 Zn 2.61
4 Zn 0.7500 0.2500 0.5000  4 Zn 2.61
5 Ge 0.5000 0.5000 0.0000  8 Rb 3.61, 4 Ge 3.70

Here is a relaxed Ti3VZn crystal from Alexandria via LeMat-Bulk. Energies are from PBE.

Total magnetization = 0.000 μB/atom
Calculated volume = 16.371 Å³ per atom
Calculated total energy = -6.703 eV per atom
Energy of formation = 0.11 eV/atom
E above lowest polymorph = 0.61 eV/f.u.

a = 7.2197 Å, b = 7.2197 Å, c = 6.8700 Å
α = 95.00°, β = 95.00°, γ = 66.84°
With the nearest neighbours (Å) after each atom.
Atoms (fractional coordinates):
1 Ti 0.0267 0.8201 0.5975  2 V 2.49-2.62, 2 Ti 2.64-2.74, 2 Zn 2.76-2.77
2 Ti 0.0974 0.6048 0.9455  2 Ti 2.62-2.86, 2 Zn 2.63-2.83, 3 V 2.67-2.94
3 Ti 0.1799 0.9733 0.9025  2 V 2.49-2.62, 2 Ti 2.64-2.74, 2 Zn 2.76-2.77
4 Ti 0.2004 0.4524 0.4001  3 V 2.43-2.67
5 Ti 0.3952 0.9026 0.5545  2 Ti 2.62-2.86, 2 Zn 2.63-2.83, 3 V 2.67-2.94
6 Ti 0.4524 0.2004 0.9001  3 V 2.43-2.67
7 Ti 0.5476 0.7996 0.0999  3 V 2.43-2.67
8 Ti 0.6048 0.0974 0.4455  2 Ti 2.62-2.86, 2 Zn 2.63-2.83, 3 V 2.67-2.94
9 Ti 0.7996 0.5476 0.5999  3 V 2.43-2.67
10 Ti 0.8201 0.0267 0.0975  2 V 2.49-2.62, 2 Ti 2.64-2.74, 2 Zn 2.76-2.77
11 Ti 0.9026 0.3952 0.0545  2 Ti 2.62-2.86, 2 Zn 2.63-2.83, 3 V 2.67-2.94
12 Ti 0.9733 0.1799 0.4025  2 V 2.49-2.62, 2 Ti 2.64-2.74, 2 Zn 2.76-2.77
13 V 0.1368 0.2823 0.7036  6 Ti 2.43-2.67
14 V 0.2823 0.1368 0.2036  6 Ti 2.43-2.67
15 V 0.7177 0.8632 0.7964  6 Ti 2.43-2.67
16 V 0.8632 0.7177 0.2964  6 Ti 2.43-2.67
17 Zn 0.2023 0.7977 0.2500  8 Ti 2.63-2.79, 2 V 2.78, 1 Zn 2.81
18 Zn 0.4443 0.5557 0.7500  1 Zn 2.81, 8 Ti 2.82-3.07
19 Zn 0.5557 0.4443 0.2500  1 Zn 2.81, 8 Ti 2.82-3.07
20 Zn 0.7977 0.2023 0.7500  8 Ti 2.63-2.79, 2 V 2.78, 1 Zn 2.81

Number 2 is which compound?
Rb2Zn2Ge